# Li2ZnCrF6 (GGA+U, optimized geometry)
# Calculated volume, Å³ per atom: 14.19
# Magnetic moment, μB per cell: 4.00
# VASP energy, eV for the cell shown: -48.76
# ρ, kg/m³: 2870
data_Li2ZnCrF6
_chemical_formula_sum 'Li2 Zn1 Cr1 F6'
_cell_length_a 5.957
_cell_length_b 5.957
_cell_length_c 3.998
_cell_angle_alpha 90.00
_cell_angle_beta 90.00
_cell_angle_gamma 90.00
_space_group_name_H-M_alt 'P 1'
_space_group_IT_number 1
_space_group_name_Hall 'P 1'
loop_
_atom_site_label
_atom_site_fract_x
_atom_site_fract_y
_atom_site_fract_z
Li1 0.000 0.500 0.000
Li2 0.500 0.000 0.000
Zn1 0.000 0.000 0.986
Cr1 0.500 0.500 0.987
F1 0.000 0.000 0.487
F2 0.245 0.245 0.991
F3 0.245 0.755 0.991
F4 0.500 0.500 0.487
F5 0.755 0.245 0.991
F6 0.755 0.755 0.991